A relaxed structure of Cs4Ac3CrO8, computed with PBE+U.

a b c (Å): 7.3296 8.0116 7.8056
angles (deg): 114.48 118.00 90.00
Closest atoms and distances in Å follow each position.
Element x y z (fractional)
O 0.7076 0.6743 0.4152  3 Ac 2.53
O 0.2924 0.3257 0.5848  3 Ac 2.53
O 0.1682 0.6385 0.9348  1 Cr 2.02
O 0.7189 0.2771 0.4378  2 Ac 2.45
O 0.7666 0.6385 0.9348  1 Cr 2.02
O 0.2334 0.3615 0.0652  1 Cr 2.02
O 0.2811 0.7229 0.5622  2 Ac 2.45
O 0.8318 0.3615 0.0652  1 Cr 2.02
Cs 0.5000 0.0000 0.0000  2 O 2.78
Cs 0.5000 0.0000 0.5000  4 O 3.01-3.06
Cs 0.0000 0.0000 0.0000  4 O 3.09
Cs 0.0000 0.0000 0.5000  4 O 3.01-3.06
Cr 0.0000 0.5000 0.0000  4 O 2.02
Ac 0.5000 0.5000 0.0000  6 O 2.53-2.59
Ac 0.0000 0.5000 0.5000  6 O 2.45-2.69
Ac 0.5000 0.5000 0.5000  6 O 2.45-2.69

Output
Energy   -97.31 eV for the cell shown
Size of the total moment   0.19 μB per atom